No. 1
A relaxed structure of Ca2Mg2Br, computed with PBE.

* uncorrected formation energy: -0.382 eV/atom

abc: 7.938 7.938 5.351
angles: 90.00 90.00 90.00
Fractional coordinates of all 10 atoms:
1 Ca 0.333 0.833 0.000
2 Ca 0.833 0.667 0.000
3 Ca 0.667 0.167 0.000
4 Ca 0.167 0.333 0.000
5 Mg 0.132 0.632 0.500
6 Mg 0.632 0.868 0.500
7 Mg 0.868 0.368 0.500
8 Mg 0.368 0.132 0.500
9 Br 0.000 0.000 0.000
10 Br 0.500 0.500 0.000

No. 2
A relaxed structure of CrIr3Pt, computed with PBE.

* ΔH_f (0 K): 132.5 kJ per mole of atoms
* energy above the most stable polymorph in this dataset: 0.00 kcal/mol of atoms

abc: 4.438 4.438 4.438
angles: 90.00 90.00 90.00
Fractional coordinates of all 5 atoms:
1 Cr 0.000 0.000 0.000
2 Ir 0.000 0.500 0.000
3 Ir 0.000 0.000 0.500
4 Ir 0.500 0.000 0.000
5 Pt 0.500 0.500 0.500

No. 3
A relaxed structure of HoTm2Ni, computed with PBE.

* ΔH_f (0 K): -22.8 kJ per mole of atoms
* energy above the most stable polymorph in this dataset: 0.81 kcal/mol of atoms

abc: 3.584 6.190 9.448
angles: 90.00 90.00 106.85
Fractional coordinates of all 8 atoms:
1 Ho 0.919 0.837 0.250
2 Ho 0.081 0.163 0.750
3 Tm 0.363 0.727 0.570
4 Tm 0.637 0.273 0.430
5 Tm 0.363 0.727 0.930
6 Tm 0.637 0.273 0.070
7 Ni 0.762 0.525 0.750
8 Ni 0.238 0.475 0.250

No. 4
A relaxed structure of LiPm5Ru4, computed with PBE.

* ΔH_f (0 K): -13.7 kJ per mole of atoms

abc: 3.488 3.488 18.740
angles: 90.00 90.00 90.00
Fractional coordinates of all 10 atoms:
1 Li 0.000 0.000 0.000
2 Pm 0.500 0.500 0.129
3 Pm 0.500 0.500 0.314
4 Pm 0.500 0.500 0.500
5 Pm 0.500 0.500 0.686
6 Pm 0.500 0.500 0.871
7 Ru 0.000 0.000 0.214
8 Ru 0.000 0.000 0.406
9 Ru 0.000 0.000 0.594
10 Ru 0.000 0.000 0.786

No. 5
A relaxed structure of NaEr2Mn, computed with PBE.

* ΔH_f (0 K): 14.1 kJ per mole of atoms

abc: 3.429 3.429 9.204
angles: 90.00 90.00 90.00
Each line ends with the local moment (μB).
Fractional coordinates of all 4 atoms:
1 Na 0.500 0.500 0.500  0.00
2 Mn 0.500 0.500 0.000  2.83
3 Er 0.000 0.000 0.820  -0.29
4 Er 0.000 0.000 0.180  -0.29

No. 6
A relaxed structure of Nb3HRh, computed with PBE.

* energy above the most stable polymorph in this dataset: 0.00 kcal/mol of atoms

abc: 4.151 4.151 4.151
angles: 90.00 90.00 90.00
Fractional coordinates of all 5 atoms:
1 H 0.000 0.000 0.000
2 Nb 0.000 0.500 0.000
3 Nb 0.000 0.000 0.500
4 Nb 0.500 0.000 0.000
5 Rh 0.500 0.500 0.500